VASP calculation (PBE) on a relaxed structure of SrZnCu2Au4.

**Symmetry**: R-3m
**Energy relative to the elements**: -0.252 eV/atom
**ρ**: 11.324 g/cm3
**Calculated volume**: 19.58 Å³ per atom
**E**: -26.27 eV/cell
**Crystal system**: trigonal

Cell: 4.454 4.454 9.472 Å, 76.40 76.40 60.00°
Fractional positions:
1 Au 0.595 0.595 0.215
2 Au 0.405 0.405 0.785
3 Zn 0.500 0.500 0.500
4 Cu 0.763 0.763 0.710
5 Au 0.130 0.130 0.609
6 Au 0.870 0.870 0.391
7 Sr 0.000 0.000 0.000
8 Cu 0.237 0.237 0.290